Entry 1:
Here is LiYGePd after structural relaxation from the Alexandria database. Energies are from PBE.

abc: 6.537 6.537 6.537
angles: 90.00 90.00 90.00
Element x y z (fractional)
Li 0.000 0.000 0.000
Li 0.000 0.500 0.500
Li 0.500 0.000 0.500
Li 0.500 0.500 0.000
Y 0.250 0.250 0.750
Y 0.250 0.750 0.250
Y 0.750 0.250 0.250
Y 0.750 0.750 0.750
Ge 0.250 0.250 0.250
Ge 0.250 0.750 0.750
Ge 0.750 0.250 0.750
Ge 0.750 0.750 0.250
Pd 0.000 0.000 0.500
Pd 0.000 0.500 0.000
Pd 0.500 0.000 0.000
Pd 0.500 0.500 0.500

Computed properties:
- Theoretical density: 6.5 Mg/m³
- Size of the total moment: 0.00 μB/f.u.
- Calculated formation energy: -0.726 eV/atom
- SG: F-43m (216)


Entry 2:
Here is TiRe3Mo2 after structural relaxation from the Alexandria database. Energies are from PBE.

abc: 5.097 5.097 7.716
angles: 95.49 95.49 105.38
Element x y z (fractional)
Ti 0.092 0.908 0.750
Ti 0.908 0.092 0.250
Re 0.175 0.351 0.990
Re 0.351 0.175 0.490
Re 0.439 0.561 0.750
Re 0.561 0.439 0.250
Re 0.649 0.825 0.510
Re 0.825 0.649 0.010
Mo 0.111 0.630 0.378
Mo 0.370 0.889 0.122
Mo 0.630 0.111 0.878
Mo 0.889 0.370 0.622

Computed properties:
- Theoretical density: 13.9 Mg/m³
- Size of the total moment: 0.00 μB/f.u.
- Calculated formation energy: 0.135 eV/atom
- SG: C2/c (15)
- E above lowest polymorph: 1.75 eV per formula unit


Entry 3:
Here is Mg3CoB after structural relaxation from the Alexandria database. Energies are from PBE.

abc: 4.458 4.458 4.458
angles: 90.00 90.00 90.00
Element x y z (fractional)
Mg 0.000 0.000 0.500
Mg 0.000 0.500 0.000
Mg 0.500 0.000 0.000
Co 0.500 0.500 0.500
B 0.000 0.000 0.000

Computed properties:
- Theoretical density: 2.7 Mg/m³
- Size of the total moment: 1.91 μB/f.u.
- Calculated formation energy: 0.587 eV/atom
- SG: Pm-3m (221)
- E above lowest polymorph: 0.00 eV per formula unit


Entry 4:
Here is ZrTiPbAu2 after structural relaxation from the Alexandria database. Energies are from PBE.

abc: 5.215 5.215 5.711
angles: 90.00 90.00 90.00
Element x y z (fractional)
Zr 0.000 0.000 0.000
Ti 0.500 0.500 0.000
Pb 0.000 0.000 0.500
Au 0.000 0.500 0.500
Au 0.500 0.000 0.500

Computed properties:
- Theoretical density: 7.9 Mg/m³
- Size of the total moment: 2.46 μB/f.u.
- Calculated formation energy: 1.133 eV/atom
- SG: P4/mmm (123)


Entry 5:
Here is Pm4InBiN after structural relaxation from the Alexandria database. Energies are from PBE.

abc: 8.927 8.927 6.934
angles: 90.00 90.00 134.31
Element x y z (fractional)
Pm 0.000 0.500 0.000
Pm 0.000 0.500 0.500
Pm 0.090 0.910 0.750
Pm 0.406 0.594 0.750
Pm 0.500 0.000 0.000
Pm 0.500 0.000 0.500
Pm 0.594 0.406 0.250
Pm 0.910 0.090 0.250
In 0.111 0.889 0.250
In 0.889 0.111 0.750
Bi 0.394 0.606 0.250
Bi 0.606 0.394 0.750
N 0.248 0.752 0.750
N 0.752 0.248 0.250

Computed properties:
- Theoretical density: 7.7 Mg/m³
- Size of the total moment: 0.00 μB/f.u.
- SG: Cmcm (63)
- Raw formation energy: -5.73 eV per formula unit


Entry 6:
Here is Nd2CoRu after structural relaxation from the Alexandria database. Energies are from PBE.

abc: 5.712 4.110 8.332
angles: 90.00 107.54 90.00
Element x y z (fractional)
Nd 0.217 0.250 0.424
Nd 0.280 0.750 0.070
Nd 0.720 0.250 0.930
Nd 0.783 0.750 0.576
Co 0.334 0.750 0.720
Co 0.666 0.250 0.280
Ru 0.169 0.250 0.774
Ru 0.831 0.750 0.226

Computed properties:
- Theoretical density: 8.0 Mg/m³
- Size of the total moment: 0.82 μB/f.u.
- Calculated formation energy: -0.113 eV/atom
- SG: P2_1/m (11)


Entry 7:
Here is Ta2HgTe after structural relaxation from the Alexandria database. Energies are from PBE.

abc: 6.794 6.794 6.794
angles: 90.00 90.00 90.00
Element x y z (fractional)
Ta 0.250 0.250 0.250
Ta 0.250 0.250 0.750
Ta 0.250 0.750 0.250
Ta 0.250 0.750 0.750
Ta 0.750 0.250 0.250
Ta 0.750 0.250 0.750
Ta 0.750 0.750 0.250
Ta 0.750 0.750 0.750
Hg 0.000 0.000 0.000
Hg 0.000 0.500 0.500
Hg 0.500 0.000 0.500
Hg 0.500 0.500 0.000
Te 0.000 0.000 0.500
Te 0.000 0.500 0.000
Te 0.500 0.000 0.000
Te 0.500 0.500 0.500

Computed properties:
- Theoretical density: 14.6 Mg/m³
- Size of the total moment: 0.00 μB/f.u.
- SG: Fm-3m (225)
- Raw formation energy: 2.00 eV per formula unit
- E above lowest polymorph: 1.27 eV per formula unit


Entry 8:
Here is SiNiAg2 after structural relaxation from the Alexandria database. Energies are from PBE.

abc: 9.420 2.844 4.583
angles: 90.00 101.83 90.00
Element x y z (fractional)
Si 0.000 0.000 0.000
Si 0.500 0.500 0.000
Ni 0.000 0.500 0.500
Ni 0.500 0.000 0.500
Ag 0.250 0.000 0.749
Ag 0.250 0.500 0.251
Ag 0.750 0.000 0.251
Ag 0.750 0.500 0.749

Computed properties:
- Theoretical density: 8.4 Mg/m³
- Size of the total moment: 0.00 μB/f.u.
- SG: C2/m (12)
- Raw formation energy: 0.76 eV per formula unit


> Number 7 is which compound?

Ta2HgTe


> The lowest theoretical density belongs to which entry?

Mg3CoB